Material: NbS3
Method: DFT, PBE-GGA
State: relaxed

ΔE_f (raw), eV per atom: -0.788

a b c (Å): 3.376 10.302 15.344
angles (deg): 68.86 90.00 90.00
Fractional coordinates of all 24 atoms:
Nb (0.750, 0.877, 0.791)
S (0.750, 0.928, 0.282)
Nb (0.750, 0.522, 0.115)
S (0.750, 0.279, 0.249)
S (0.750, 0.956, 0.593)
Nb (0.250, 0.151, 0.538)
S (0.250, 0.563, 0.226)
Nb (0.750, 0.849, 0.462)
S (0.750, 0.621, 0.933)
S (0.250, 0.717, 0.090)
Nb (0.250, 0.478, 0.885)
S (0.750, 0.316, 0.566)
S (0.250, 0.379, 0.067)
S (0.250, 0.721, 0.751)
S (0.250, 0.684, 0.434)
S (0.250, 0.683, 0.570)
Nb (0.250, 0.123, 0.209)
S (0.250, 0.044, 0.407)
S (0.750, 0.108, 0.095)
S (0.250, 0.072, 0.718)
S (0.750, 0.437, 0.774)
S (0.750, 0.317, 0.430)
S (0.750, 0.283, 0.910)
S (0.250, 0.892, 0.905)